[1]
Ti3MnSi after structural relaxation. Source: the Alexandria database, functional PBE.

## Properties
DFT total energy   -7.33 eV per atom
Energy relative to the elements, uncorrected   157 kJ/mol of formula units

Unit cell a=4.428 b=4.428 c=4.428 alpha=90.00 beta=90.00 gamma=90.00
Atoms (fractional coordinates):
1 Ti 0.000 0.000 0.500
2 Ti 0.000 0.500 0.000
3 Ti 0.500 0.000 0.000
4 Mn 0.000 0.000 0.000
5 Si 0.500 0.500 0.500



[2]
CeBeNiGe2 after structural relaxation. Source: the Alexandria database, functional PBE.

## Properties
DFT total energy   -5.49 eV per atom
Formation enthalpy at 0 K   -53.99 kJ per mole of atoms

Unit cell a=5.748 b=5.748 c=5.748 alpha=138.73 beta=138.73 gamma=59.78
Atoms (fractional coordinates):
1 Ce 0.000 0.000 0.000
2 Be 0.750 0.250 0.500
3 Ni 0.250 0.750 0.500
4 Ge 0.372 0.372 0.000
5 Ge 0.628 0.628 0.000



[3]
Y2Ag2Pd5 after structural relaxation. Source: the Alexandria database, functional PBE.

## Properties
DFT total energy   -5.42 eV per atom
Formation enthalpy at 0 K   -45.13 kJ per mole of atoms

Unit cell a=9.690 b=9.690 c=9.690 alpha=56.05 beta=137.91 gamma=144.73
Atoms (fractional coordinates):
1 Y 0.000 0.000 0.000
2 Y 0.000 0.500 0.500
3 Y 0.050 0.249 0.302
4 Y 0.947 0.749 0.698
5 Ag 0.447 0.572 0.018
6 Ag 0.447 0.929 0.375
7 Ag 0.553 0.072 0.625
8 Ag 0.553 0.429 0.982
9 Pd 0.000 0.126 0.628
10 Pd 0.000 0.419 0.921
11 Pd 0.000 0.579 0.081
12 Pd 0.000 0.872 0.373
13 Pd 0.464 0.249 0.715
14 Pd 0.498 0.079 0.079
15 Pd 0.498 0.919 0.919
16 Pd 0.499 0.372 0.372
17 Pd 0.499 0.626 0.627
18 Pd 0.534 0.749 0.285



[4]
In2MoP after structural relaxation. Source: the Alexandria database, functional PBE.

## Properties
DFT total energy   -5.31 eV per atom
Formation enthalpy at 0 K   11.84 kJ per mole of atoms

Unit cell a=5.631 b=5.631 c=5.021 alpha=105.30 beta=105.30 gamma=31.80
Atoms (fractional coordinates):
1 In 0.000 0.000 0.000
2 In 0.204 0.204 0.640
3 Mo 0.454 0.454 0.486
4 P 0.797 0.797 0.233



[5]
Ce6Tc2Rh after structural relaxation. Source: the Alexandria database, functional PBE.

## Properties
DFT total energy   -7.22 eV per atom
Formation enthalpy at 0 K   -13.95 kJ per mole of atoms

Unit cell a=6.370 b=7.163 c=11.419 alpha=90.00 beta=122.08 gamma=90.00
Atoms (fractional coordinates):
1 Ce 0.073 0.186 0.428
2 Ce 0.073 0.314 0.928
3 Ce 0.298 0.642 0.450
4 Ce 0.298 0.858 0.950
5 Ce 0.379 0.067 0.232
6 Ce 0.379 0.433 0.732
7 Ce 0.621 0.567 0.268
8 Ce 0.621 0.933 0.768
9 Ce 0.702 0.142 0.050
10 Ce 0.702 0.358 0.550
11 Ce 0.927 0.686 0.072
12 Ce 0.927 0.814 0.572
13 Tc 0.181 0.131 0.728
14 Tc 0.181 0.369 0.228
15 Tc 0.819 0.631 0.772
16 Tc 0.819 0.869 0.272
17 Rh 0.500 0.000 0.500
18 Rh 0.500 0.500 0.000



[6]
Na8TlIn2 after structural relaxation. Source: the Alexandria database, functional PBE.

## Properties
DFT total energy   -1.68 eV per atom
Formation enthalpy at 0 K   -0.33 kJ per mole of atoms
Energy above the most stable polymorph in this dataset   0.000 eV per atom

Unit cell a=8.903 b=8.903 c=5.798 alpha=103.95 beta=103.95 gamma=118.84
Atoms (fractional coordinates):
1 Na 0.089 0.327 0.631
2 Na 0.214 0.786 0.000
3 Na 0.327 0.089 0.631
4 Na 0.390 0.390 0.195
5 Na 0.610 0.610 0.805
6 Na 0.673 0.911 0.369
7 Na 0.786 0.214 0.000
8 Na 0.911 0.673 0.369
9 Tl 0.000 0.000 0.000
10 In 0.312 0.688 0.500
11 In 0.688 0.312 0.500



[7]
P2PtIO after structural relaxation. Source: the Alexandria database, functional PBE.

## Properties
DFT total energy   -4.20 eV per atom
Energy relative to the elements, uncorrected   229 kJ/mol of formula units
Energy above the most stable polymorph in this dataset   0.000 eV per atom

Unit cell a=4.877 b=4.877 c=3.929 alpha=90.00 beta=90.00 gamma=90.00
Atoms (fractional coordinates):
1 P 0.000 0.500 0.000
2 P 0.500 0.000 0.000
3 Pt 0.000 0.000 0.000
4 I 0.500 0.500 0.500
5 O 0.000 0.000 0.500



[8]
Ac4CdRh2 after structural relaxation. Source: the Alexandria database, functional PBE.

## Properties
DFT total energy   -5.10 eV per atom
Formation enthalpy at 0 K   -50.08 kJ per mole of atoms
Energy above the most stable polymorph in this dataset   0.000 eV per atom

Unit cell a=7.666 b=7.666 c=14.885 alpha=90.00 beta=90.00 gamma=147.08
Atoms (fractional coordinates):
1 Ac 0.000 0.000 0.000
2 Ac 0.000 0.000 0.500
3 Ac 0.266 0.734 0.610
4 Ac 0.266 0.734 0.890
5 Ac 0.431 0.569 0.250
6 Ac 0.569 0.431 0.750
7 Ac 0.734 0.266 0.110
8 Ac 0.734 0.266 0.390
9 Cd 0.110 0.890 0.250
10 Cd 0.890 0.110 0.750
11 Rh 0.368 0.632 0.062
12 Rh 0.368 0.632 0.438
13 Rh 0.632 0.368 0.562
14 Rh 0.632 0.368 0.938



[9]
La4Mg after structural relaxation. Source: the Alexandria database, functional PBE.

## Properties
DFT total energy   -3.93 eV per atom
Formation enthalpy at 0 K   31.97 kJ per mole of atoms
Energy above the most stable polymorph in this dataset   0.364 eV per atom

Unit cell a=9.910 b=9.910 c=9.910 alpha=154.02 beta=154.02 gamma=37.07
Atoms (fractional coordinates):
1 La 0.085 0.085 0.000
2 La 0.250 0.750 0.500
3 La 0.750 0.250 0.500
4 La 0.915 0.915 0.000
5 Mg 0.500 0.500 0.000



[10]
CaPbNO2 after structural relaxation. Source: the Alexandria database, functional PBE.

## Properties
DFT total energy   -4.92 eV per atom
Energy relative to the elements, uncorrected   -62 kJ/mol of formula units

Unit cell a=4.461 b=4.461 c=4.584 alpha=90.00 beta=90.00 gamma=90.00
Atoms (fractional coordinates):
1 Ca 0.000 0.000 0.000
2 Pb 0.500 0.500 0.500
3 N 0.000 0.000 0.500
4 O 0.000 0.500 0.000
5 O 0.500 0.000 0.000



[11]
K3Sb2Pd4 after structural relaxation. Source: the Alexandria database, functional PBE.

## Properties
DFT total energy   -3.97 eV per atom
Energy relative to the elements, uncorrected   -327 kJ/mol of formula units

Unit cell a=6.571 b=6.571 c=9.279 alpha=107.25 beta=107.25 gamma=40.64
Atoms (fractional coordinates):
1 K 0.000 0.000 0.000
2 K 0.371 0.371 0.626
3 K 0.629 0.629 0.374
4 Sb 0.323 0.323 0.225
5 Sb 0.677 0.677 0.775
6 Pd 0.087 0.087 0.639
7 Pd 0.260 0.260 0.920
8 Pd 0.740 0.740 0.080
9 Pd 0.913 0.913 0.361



[12]
YIn3Rh4 after structural relaxation. Source: the Alexandria database, functional PBE.

## Properties
DFT total energy   -6.10 eV per atom
Formation enthalpy at 0 K   -56.77 kJ per mole of atoms

Unit cell a=8.016 b=8.016 c=8.016 alpha=33.71 beta=33.71 gamma=33.71
Atoms (fractional coordinates):
1 Y 0.000 0.000 0.000
2 In 0.251 0.251 0.251
3 In 0.500 0.500 0.500
4 In 0.749 0.749 0.749
5 Rh 0.128 0.128 0.128
6 Rh 0.380 0.380 0.380
7 Rh 0.620 0.620 0.620
8 Rh 0.872 0.872 0.872



- Which formula does entry 7 have?
  P2PtIO



- DFT total energy of number 11 (K3Sb2Pd4)?
  -3.97 eV per atom



- DFT total energy of number 6 (Na8TlIn2)?
  -1.68 eV per atom



Copy entry 3 word for word.
Y2Ag2Pd5 after structural relaxation. Source: the Alexandria database, functional PBE.

## Properties
DFT total energy   -5.42 eV per atom
Formation enthalpy at 0 K   -45.13 kJ per mole of atoms

Unit cell a=9.690 b=9.690 c=9.690 alpha=56.05 beta=137.91 gamma=144.73
Atoms (fractional coordinates):
1 Y 0.000 0.000 0.000
2 Y 0.000 0.500 0.500
3 Y 0.050 0.249 0.302
4 Y 0.947 0.749 0.698
5 Ag 0.447 0.572 0.018
6 Ag 0.447 0.929 0.375
7 Ag 0.553 0.072 0.625
8 Ag 0.553 0.429 0.982
9 Pd 0.000 0.126 0.628
10 Pd 0.000 0.419 0.921
11 Pd 0.000 0.579 0.081
12 Pd 0.000 0.872 0.373
13 Pd 0.464 0.249 0.715
14 Pd 0.498 0.079 0.079
15 Pd 0.498 0.919 0.919
16 Pd 0.499 0.372 0.372
17 Pd 0.499 0.626 0.627
18 Pd 0.534 0.749 0.285